(1)
A relaxed structure of BaTiCu2Ru. Source: Alexandria via LeMat-Bulk, functional PBEsol.

Lattice parameters (Å, degrees): 4.951 4.951 4.413 90.00 90.00 90.00
Positions (direct):
Ba1 0.000 0.000 0.000
Ti1 0.500 0.500 0.000
Cu1 0.000 0.500 0.500
Cu2 0.500 0.000 0.500
Ru1 0.500 0.500 0.500

As for the crystal system: tetragonal. As for the volume: 108.2 Å³/f.u. Its energy of formation is 0.39 eV/atom.

(2)
A relaxed structure of BaAs2. Source: Alexandria via LeMat-Bulk, functional PBEsol.

Lattice parameters (Å, degrees): 8.527 8.527 8.527 148.68 148.68 44.88
Positions (direct):
Ba1 0.375 0.625 0.750
Ba2 0.625 0.375 0.250
As1 0.042 0.792 0.250
As2 0.208 0.958 0.250
As3 0.792 0.042 0.750
As4 0.958 0.208 0.750

As for the crystal system: tetragonal. As for the volume: 83.5 Å³/f.u. Its energy of formation is -0.78 eV/atom.

(3)
A relaxed structure of BeIr2O2. Source: Alexandria via LeMat-Bulk, functional PBEsol.

Lattice parameters (Å, degrees): 5.954 5.954 3.694 90.00 90.00 90.00
Positions (direct):
Be1 0.000 0.000 0.000
Be2 0.500 0.500 0.000
Ir1 0.155 0.345 0.000
Ir2 0.345 0.845 0.000
Ir3 0.655 0.155 0.000
Ir4 0.845 0.655 0.000
O1 0.162 0.338 0.500
O2 0.338 0.838 0.500
O3 0.662 0.162 0.500
O4 0.838 0.662 0.500

As for the crystal system: tetragonal. As for the energy above the most stable polymorph in this dataset: 0 meV/atom. The calculation puts the uncorrected formation energy at -0.1997 eV/atom. As for the volume: 65.5 Å³/f.u.

(4)
A relaxed structure of InPt3F. Source: Alexandria via LeMat-Bulk, functional PBEsol.

Lattice parameters (Å, degrees): 4.917 4.917 4.917 90.00 90.00 90.00
Positions (direct):
In1 0.000 0.000 0.000
Pt1 0.000 0.000 0.500
Pt2 0.000 0.500 0.000
Pt3 0.500 0.000 0.000
F1 0.500 0.500 0.500

As for the crystal system: cubic. The calculation puts the uncorrected formation energy at 1.4173 eV/atom. As for the volume: 118.8 Å³/f.u.

(5)
A relaxed structure of Mg2SbP2. Source: Alexandria via LeMat-Bulk, functional PBEsol.

Lattice parameters (Å, degrees): 7.413 7.413 3.522 90.00 90.00 90.00
Positions (direct):
Mg1 0.141 0.359 0.000
Mg2 0.359 0.859 0.000
Mg3 0.641 0.141 0.000
Mg4 0.859 0.641 0.000
Sb1 0.000 0.000 0.500
Sb2 0.500 0.500 0.500
P1 0.164 0.664 0.500
P2 0.336 0.164 0.500
P3 0.664 0.836 0.500
P4 0.836 0.336 0.500

As for the crystal system: tetragonal. The calculation puts the uncorrected formation energy at -0.1986 eV/atom. As for the volume: 96.8 Å³/f.u.

(6)
A relaxed structure of Y2BrCl. Source: Alexandria via LeMat-Bulk, functional PBEsol.

Lattice parameters (Å, degrees): 5.771 5.771 3.590 106.40 106.40 107.50
Positions (direct):
Y1 0.000 0.500 0.000
Y2 0.500 0.000 0.000
Br1 0.000 0.000 0.000
Cl1 0.500 0.500 0.000

As for the crystal system: monoclinic. The calculation puts the uncorrected formation energy at -1.1024 eV/atom. As for the volume: 100.2 Å³/f.u.

(7)
A relaxed structure of LaCr2Cd2. Source: Alexandria via LeMat-Bulk, functional PBEsol.

Lattice parameters (Å, degrees): 9.961 9.961 9.961 161.56 161.56 26.19
Positions (direct):
La1 0.000 0.000 0.000
Cr1 0.250 0.750 0.500
Cr2 0.750 0.250 0.500
Cd1 0.371 0.371 0.000
Cd2 0.629 0.629 0.000

As for the crystal system: tetragonal. As for the volume: 98.8 Å³/f.u. Its energy of formation is 0.40 eV/atom.

(8)
A relaxed structure of HgI2. Source: Alexandria via LeMat-Bulk, functional PBEsol.

Lattice parameters (Å, degrees): 4.398 4.398 12.249 90.00 90.00 90.00
Positions (direct):
Hg1 0.250 0.750 0.250
Hg2 0.750 0.250 0.750
I1 0.250 0.250 0.107
I2 0.250 0.250 0.607
I3 0.750 0.750 0.393
I4 0.750 0.750 0.893

As for the crystal system: tetragonal. The calculation puts the uncorrected formation energy at -0.2709 eV/atom. As for the volume: 118.5 Å³/f.u.